Entry 1:
Material: ZrAl
Method: DFT, PBE-GGA
State: optimized geometry

Calculated values
* energy of formation: -410 meV/atom
* total energy: -26.22 eV per cell

Cell and atoms, written as extended XYZ:
```
4
Lattice="-1.963 2.118 4.747 1.963 -2.118 4.747 1.963 2.118 -4.747" Properties=species:S:1:pos:R:3 pbc="T T T"
Zr 0.000 1.059 1.154
Zr 1.963 1.059 3.594
Al 1.963 1.059 -1.305
Al 0.000 1.059 6.052
```

Entry 2:
Material: ScZn2Cu2
Method: DFT, PBE-GGA
State: optimized geometry

Calculated values
* energy of formation: -176 meV/atom
* E above lowest polymorph: 0.430 kcal/mol of atoms
* total energy: -17.95 eV per cell

Cell and atoms, written as extended XYZ:
```
5
Lattice="-1.837 1.837 5.857 1.837 -1.837 5.857 1.837 1.837 -5.857" Properties=species:S:1:pos:R:3 pbc="T T T"
Sc 0.000 0.000 0.000
Zn 1.837 0.000 2.929
Zn 0.000 1.837 2.929
Cu 0.000 0.000 4.673
Cu 0.000 0.000 7.042
```

Entry 3:
Material: Li2Sc2Al5Pd
Method: DFT, PBE-GGA
State: optimized geometry

Calculated values
* energy of formation: -338 meV/atom
* total energy: -87.56 eV per cell

Cell and atoms, written as extended XYZ:
```
20
Lattice="9.959 0.000 0.000 0.000 9.959 0.000 0.000 0.000 3.354" Properties=species:S:1:pos:R:3 pbc="T T T"
Li 1.269 3.710 0.000
Li 3.710 8.690 0.000
Li 6.249 1.269 0.000
Li 8.690 6.249 0.000
Sc 1.748 6.728 0.000
Sc 3.232 1.748 0.000
Sc 6.728 8.211 0.000
Sc 8.211 3.232 0.000
Al 0.000 4.980 1.677
Al 0.536 1.951 1.677
Al 1.951 9.424 1.677
Al 3.028 4.444 1.677
Al 4.444 6.931 1.677
Al 4.980 0.000 1.677
Al 5.515 3.028 1.677
Al 6.931 5.515 1.677
Al 8.008 0.536 1.677
Al 9.424 8.008 1.677
Pd 0.000 0.000 0.000
Pd 4.980 4.980 0.000
```

Entry 4:
Material: AcPm6Y3Tm2
Method: DFT, PBE-GGA
State: optimized geometry

Calculated values
* energy of formation: 28 meV/atom
* total energy: -60.61 eV per cell

Cell and atoms, written as extended XYZ:
```
12
Lattice="3.148 -5.452 0.000 3.148 5.452 0.000 -2.100 0.000 11.830" Properties=species:S:1:pos:R:3 pbc="T T T"
Ac 0.000 0.000 0.000
Pm 1.060 1.836 2.990
Pm 0.019 0.000 8.836
Pm 1.060 -1.836 2.990
Pm 3.136 1.836 8.840
Pm 4.177 0.000 2.994
Pm 3.136 -1.836 8.840
Y 2.098 3.629 5.915
Y 2.098 0.000 5.915
Y 2.098 -3.629 5.915
Tm 3.148 1.816 0.000
Tm 3.148 -1.816 0.000
```

Entry 5:
Material: BaLaCl
Method: DFT, PBE-GGA
State: optimized geometry

Calculated values
* E above lowest polymorph: 2.926 kcal/mol of atoms
* uncorrected formation energy: -0.816 eV per atom
* total energy: -11.15 eV per cell

Cell and atoms, written as extended XYZ:
```
3
Lattice="-1.875 1.875 7.541 1.875 -1.875 7.541 1.875 1.875 -7.541" Properties=species:S:1:pos:R:3 pbc="T T T"
Ba 0.000 0.000 0.000
La 0.000 0.000 4.253
Cl 0.000 0.000 9.876
```

Entry 6:
Material: CeBSO2
Method: DFT, PBE-GGA
State: optimized geometry

Calculated values
* uncorrected formation energy: -2.271 eV per atom
* total energy: -76.02 eV per cell

Cell and atoms, written as extended XYZ:
```
10
Lattice="5.715 0.000 0.000 0.000 4.894 0.000 -1.353 0.000 5.619" Properties=species:S:1:pos:R:3 pbc="T T T"
Ce 0.770 1.223 1.483
Ce 3.592 3.670 4.136
B 0.790 3.670 5.207
B 3.572 1.223 0.411
S 0.731 3.670 3.254
S 3.630 1.223 2.364
O 0.920 3.670 0.219
O 0.986 1.223 5.484
O 3.376 3.670 0.134
O 3.442 1.223 5.399
```

Entry 7:
Material: PbSN3
Method: DFT, PBE-GGA
State: optimized geometry

Calculated values
* uncorrected formation energy: 2.711 eV per atom
* total energy: -19.26 eV per cell

Cell and atoms, written as extended XYZ:
```
5
Lattice="4.394 0.000 0.000 0.000 4.394 0.000 0.000 0.000 4.394" Properties=species:S:1:pos:R:3 pbc="T T T"
Pb 0.000 0.000 0.000
S 2.197 2.197 2.197
N 0.000 0.000 2.197
N 0.000 2.197 0.000
N 2.197 0.000 0.000
```

Entry 8:
Material: Mn2SnHRh
Method: DFT, PBE-GGA
State: optimized geometry

Calculated values
* E above lowest polymorph: 0.000 kcal/mol of atoms
* total energy: -33.75 eV per cell

Cell and atoms, written as extended XYZ:
```
5
Lattice="3.950 0.000 0.000 0.000 3.950 0.000 0.000 0.000 3.996" Properties=species:S:1:pos:R:3 pbc="T T T"
Mn 0.000 1.975 0.000
Mn 1.975 0.000 0.000
Sn 0.000 0.000 1.998
H 1.975 1.975 0.000
Rh 1.975 1.975 1.998
```

| no. | spin magnetization (μB/f.u.) |
| --- | --- |
| 1 | 0.0 |
| 2 | 0.0 |
| 3 | 0.0 |
| 4 | 0.0 |
| 5 | 0.0 |
| 6 | 1.0 |
| 7 | 3.8 |
| 8 | 6.1 |